1.
YAl3P: relaxed, PBE-GGA.

Formation energy = 1.4707 eV/atom
Final energy = -0.116 Ha/atom
Theoretical density = 2.00 g cm⁻³
Relative energy among the computed polymorphs = 1.3247 eV/atom
Crystal system = cubic

Geometry as CIF:
```
data_YAl3P
_chemical_formula_sum 'Y1 Al3 P1'
_cell_length_a 5.506
_cell_length_b 5.506
_cell_length_c 5.506
_cell_angle_alpha 90.00
_cell_angle_beta 90.00
_cell_angle_gamma 90.00
_symmetry_space_group_name_H-M 'P m -3 m'
_symmetry_Int_Tables_number 221
_symmetry_space_group_name_Hall '-P 4 2 3'
loop_
_atom_site_label
_atom_site_fract_x
_atom_site_fract_y
_atom_site_fract_z
Y1 0.000 0.000 0.000
Al1 0.000 0.000 0.500
P1 0.500 0.500 0.500
```

---

2.
YAlP: relaxed, PBE-GGA.

Formation energy = -0.5440 eV/atom
Final energy = -0.211 Ha/atom
Theoretical density = 4.15 g cm⁻³
Crystal system = tetragonal

Geometry as CIF:
```
data_YAlP
_chemical_formula_sum 'Y2 Al2 P2'
_cell_length_a 3.421
_cell_length_b 3.421
_cell_length_c 10.046
_cell_angle_alpha 90.00
_cell_angle_beta 90.00
_cell_angle_gamma 90.00
_symmetry_space_group_name_H-M 'I 4 m m'
_symmetry_Int_Tables_number 107
_symmetry_space_group_name_Hall 'I 4 -2'
loop_
_atom_site_label
_atom_site_fract_x
_atom_site_fract_y
_atom_site_fract_z
Y1 0.000 0.000 0.000
Al1 0.000 0.000 0.708
P1 0.000 0.000 0.306
```

---

3.
YAl3P: relaxed, PBE-GGA.

Formation energy = 0.1460 eV/atom
Final energy = -0.164 Ha/atom
Theoretical density = 3.07 g cm⁻³
Relative energy among the computed polymorphs = 0.0000 eV/atom
Crystal system = cubic

Geometry as CIF:
```
data_YAl3P
_chemical_formula_sum 'Y1 Al3 P1'
_cell_length_a 4.772
_cell_length_b 4.772
_cell_length_c 4.772
_cell_angle_alpha 90.00
_cell_angle_beta 90.00
_cell_angle_gamma 90.00
_symmetry_space_group_name_H-M 'P m -3 m'
_symmetry_Int_Tables_number 221
_symmetry_space_group_name_Hall '-P 4 2 3'
loop_
_atom_site_label
_atom_site_fract_x
_atom_site_fract_y
_atom_site_fract_z
Y1 0.000 0.000 0.000
Al1 0.000 0.500 0.500
P1 0.500 0.500 0.500
```

---

4.
Y2AlP2: relaxed, PBE-GGA.

Formation energy = -1.0175 eV/atom
Final energy = -0.239 Ha/atom
Theoretical density = 4.30 g cm⁻³
Crystal system = tetragonal

Geometry as CIF:
```
data_Y2AlP2
_chemical_formula_sum 'Y4 Al2 P4'
_cell_length_a 7.359
_cell_length_b 7.359
_cell_length_c 3.801
_cell_angle_alpha 90.00
_cell_angle_beta 90.00
_cell_angle_gamma 90.00
_symmetry_space_group_name_H-M 'P 4/m b m'
_symmetry_Int_Tables_number 127
_symmetry_space_group_name_Hall '-P 4 2ab'
loop_
_atom_site_label
_atom_site_fract_x
_atom_site_fract_y
_atom_site_fract_z
Y1 0.158 0.342 0.000
Al1 0.000 0.000 0.500
P1 0.151 0.651 0.500
```

---

5.
YAlP: relaxed, PBE-GGA.

Formation energy = -0.4836 eV/atom
Final energy = -0.209 Ha/atom
Theoretical density = 4.06 g cm⁻³
Crystal system = hexagonal

Geometry as CIF:
```
data_YAlP
_chemical_formula_sum 'Y3 Al3 P3'
_cell_length_a 7.4564
_cell_length_b 7.4564
_cell_length_c 3.7388
_cell_angle_alpha 90.00
_cell_angle_beta 90.00
_cell_angle_gamma 120.00
_symmetry_space_group_name_H-M 'P -6 2 m'
_symmetry_Int_Tables_number 189
_symmetry_space_group_name_Hall 'P -6 -2'
loop_
_atom_site_label
_atom_site_fract_x
_atom_site_fract_y
_atom_site_fract_z
Y1 0.0000 0.6153 0.0000
Al1 0.0000 0.0000 0.0000
Al2 0.3333 0.6667 0.5000
P1 0.0000 0.2985 0.5000
```

---

6.
YAl3P2: relaxed, PBE-GGA.

Formation energy = -0.3746 eV/atom
Final energy = -0.188 Ha/atom
Theoretical density = 3.58 g cm⁻³
Crystal system = hexagonal

Geometry as CIF:
```
data_YAl3P2
_chemical_formula_sum 'Y3 Al9 P6'
_cell_length_a 9.9743
_cell_length_b 9.9743
_cell_length_c 3.7424
_cell_angle_alpha 90.00
_cell_angle_beta 90.00
_cell_angle_gamma 120.00
_symmetry_space_group_name_H-M 'P 6/m m m'
_symmetry_Int_Tables_number 191
_symmetry_space_group_name_Hall '-P 6 2'
loop_
_atom_site_label
_atom_site_fract_x
_atom_site_fract_y
_atom_site_fract_z
Y1 0.0000 0.0000 0.0000
Y2 0.3333 0.6667 0.5000
Al1 0.0000 0.2856 0.5000
Al2 0.0000 0.5000 0.0000
P1 0.2051 0.4103 0.0000
```

---

Calculated DOS at the Fermi energy in order - 5.85, 3.89, 3.41, 3.83, 4.83, 7.22 states/eV/cell